The following is a DFT calculation (PBE) of crystalline Cs3KC2O6 at its relaxed geometry.

The structure in CIF format:
```
data_Cs3KC2O6
_chemical_formula_sum 'Cs3 K1 C2 O6'
_space_group_name_H-M_alt 'P -3 m 1'
_space_group_IT_number 164
_space_group_name_Hall '-P 3 2"'
_cell_length_a 6.1944
_cell_length_b 6.1944
_cell_length_c 7.5994
_cell_angle_alpha 90.00
_cell_angle_beta 90.00
_cell_angle_gamma 120.00
loop_
_atom_site_label
_atom_site_fract_x
_atom_site_fract_y
_atom_site_fract_z
Cs1 0.0000 0.0000 0.0000
Cs2 0.3333 0.6667 0.7060
K1 0.0000 0.0000 0.5000
C1 0.3333 0.6667 0.2761
O1 0.2114 0.4228 0.2776
```

Values from the calculation:
Formation energy (no corrections): -2012.1 kJ/mol of formula units
Total magnetic moment: 0.0000 μB per atom